Entry 1:
Te4MoRu | PBE | optimized geometry

```
Te4MoRu
1.0
0.000 4.368 4.368
4.368 0.000 4.368
4.368 4.368 0.000
Te Mo Ru
4 1 1
direct
0.125 0.125 0.125
0.125 0.125 0.625
0.125 0.625 0.125
0.625 0.125 0.125
0.750 0.750 0.750
0.500 0.500 0.500
```

Values from the calculation:
* uncorrected energy: -3.87 eV per atom
* formation energy (no corrections): 1578 meV per atom
* space group: F-43m, No. 216

Entry 2:
TeMoRu2 | PBE | optimized geometry

```
TeMoRu2
1.0
2.938 -3.685 0.000
2.938 3.685 0.000
0.000 0.000 2.989
Te Mo Ru
1 1 2
direct
0.000 0.000 0.000
0.500 0.500 0.000
0.000 0.500 0.500
0.500 0.000 0.500
```

Values from the calculation:
* uncorrected energy: -7.73 eV per atom
* formation energy (no corrections): 404 meV per atom
* space group: Cmmm, No. 65

Entry 3:
TeMo3Ru | PBE | optimized geometry

```
TeMo3Ru
1.0
4.741 0.000 0.000
0.000 4.741 0.000
0.000 0.000 4.741
Te Mo Ru
1 3 1
direct
0.000 0.000 0.000
0.000 0.500 0.500
0.500 0.000 0.500
0.500 0.500 0.000
0.500 0.500 0.500
```

Values from the calculation:
* uncorrected energy: -7.50 eV per atom
* formation energy (no corrections): 1484 meV per atom
* space group: Pm-3m, No. 221